# GaFe2Co PBE relaxed
# V = 11.73 Å³ per atom
# DOS(E_F) = 0.75 states/eV per atom
# DFT formation energy = -0.15 eV/atom
data_GaFe2Co
_chemical_formula_sum 'Ga4 Fe8 Co4'
_space_group_name_H-M_alt 'F -4 3 m'
_space_group_IT_number 216
_space_group_name_Hall 'F -4 2 3'
_cell_length_a 5.726
_cell_length_b 5.726
_cell_length_c 5.726
_cell_angle_alpha 90.00
_cell_angle_beta 90.00
_cell_angle_gamma 90.00
loop_
_atom_site_label
_atom_site_type_symbol
_atom_site_fract_x
_atom_site_fract_y
_atom_site_fract_z
Ga1 Ga 0.000 0.000 0.000
Fe1 Fe 0.000 0.000 0.500
Fe2 Fe 0.250 0.250 0.750
Co1 Co 0.250 0.250 0.250